Here is a geometry-optimized Cr2FeIr3 structure from the Alexandria database. Energies are from GGA-PBE.

POSCAR file:
```
Cr2FeIr3
1.0
1.912 -5.763 0.000
1.912 5.763 0.000
0.000 0.000 3.647
Cr Fe Ir
2 1 3
Cartesian
1.912 3.896 0.000 Cr
1.912 -3.896 0.000 Cr
1.912 0.000 0.000 Fe
0.000 0.000 1.824 Ir
1.912 1.910 1.824 Ir
1.912 -1.910 1.824 Ir
```

total DFT energy (no corrections)	-55.41	eV per cell
ΔE_f	-0.19	eV per atom